Record 1
VASP calculation (GGA-PBE) on a geometry-optimized CaMgRu2 structure.

- Volume: 19.0 Å³/atom
- Total magnetic moment: 1.28 μB/f.u.
- D(E_F): 18.1 states/eV/cell
- DFT formation energy: 709 meV/atom

abc: 7.5173 7.5173 5.3848
angles: 90.00 90.00 90.00
Space group I-42d (No. 122)
Symmetry-distinct sites (fractional):
Ca (0.0000, 0.0000, 0.0000) (multiplicity 4)
Mg (0.0000, 0.0000, 0.5000) (multiplicity 4)
Ru (0.2217, 0.2500, 0.6250) (multiplicity 8)

=====

Record 2
VASP calculation (GGA-PBE) on a geometry-optimized CaMgRu2 structure.

- Volume: 18.5 Å³/atom
- Total magnetic moment: 0.39 μB/f.u.
- D(E_F): 5.2 states/eV/cell
- DFT formation energy: 303 meV/atom

abc: 2.8162 4.2653 6.1564
angles: 90.00 90.00 90.00
Space group Pmmm (No. 47)
Symmetry-distinct sites (fractional):
Ca (0.0000, 0.0000, 0.0000) (multiplicity 1)
Mg (0.0000, 0.0000, 0.5000) (multiplicity 1)
Ru (0.5000, 0.5000, 0.3046) (multiplicity 2)

=====

Record 3
VASP calculation (GGA-PBE) on a geometry-optimized CaMgRu2 structure.

- Volume: 19.3 Å³/atom
- Total magnetic moment: 0.00 μB/f.u.
- D(E_F): 4.9 states/eV/cell
- DFT formation energy: 148 meV/atom

abc: 3.0120 3.0120 8.5308
angles: 90.00 90.00 90.00
Space group P4mm (No. 99)
Symmetry-distinct sites (fractional):
Ca (0.0000, 0.0000, 0.0000) (multiplicity 1)
Mg (0.5000, 0.5000, 0.3566) (multiplicity 1)
Ru (0.0000, 0.0000, 0.5736) (multiplicity 1)
Ru (0.5000, 0.5000, 0.7463) (multiplicity 1)

=====

Record 4
VASP calculation (GGA-PBE) on a geometry-optimized CaMg2Ru structure.

- Volume: 20.8 Å³/atom
- Total magnetic moment: 0.79 μB/f.u.
- D(E_F): 5.9 states/eV/cell
- DFT formation energy: 301 meV/atom

abc: 5.8331 10.1688 3.0679
angles: 90.00 113.68 90.00
Space group C2/m (No. 12)
Symmetry-distinct sites (fractional):
Ca (0.0000, 0.0000, 0.0000) (multiplicity 2)
Mg (0.2500, 0.2500, 0.5000) (multiplicity 4)
Ru (0.0000, 0.5000, 0.0000) (multiplicity 2)

=====

Record 5
VASP calculation (GGA-PBE) on a geometry-optimized CaMg2Ru2 structure.

- Volume: 18.9 Å³/atom
- Total magnetic moment: 0.92 μB/f.u.
- D(E_F): 13.9 states/eV/cell
- ΔE to the lowest computed polymorph: 0.000 eV/atom
- DFT formation energy: 149 meV/atom

abc: 7.8298 7.8298 3.0902
angles: 90.00 90.00 90.00
Space group P4/mbm (No. 127)
Symmetry-distinct sites (fractional):
Ca (0.0000, 0.0000, 0.0000) (multiplicity 2)
Mg (0.1762, 0.3238, 0.5000) (multiplicity 4)
Ru (0.1109, 0.6109, 0.0000) (multiplicity 4)

=====

Record 6
VASP calculation (GGA-PBE) on a geometry-optimized Ca2MgRu structure.

- Volume: 26.0 Å³/atom
- Total magnetic moment: 0.00 μB/f.u.
- D(E_F): 6.7 states/eV/cell
- DFT formation energy: 387 meV/atom

abc: 8.3603 8.3603 5.9595
angles: 90.00 90.00 90.00
Space group I-42d (No. 122)
Symmetry-distinct sites (fractional):
Ca (0.1861, 0.7500, 0.1250) (multiplicity 8)
Mg (0.0000, 0.0000, 0.5000) (multiplicity 4)
Ru (0.0000, 0.0000, 0.0000) (multiplicity 4)

=====

Record 7
VASP calculation (GGA-PBE) on a geometry-optimized CaMgRu2 structure.

- Volume: 18.7 Å³/atom
- Total magnetic moment: 0.65 μB/f.u.
- D(E_F): 11.3 states/eV/cell
- DFT formation energy: 329 meV/atom

abc: 9.1380 2.9229 5.6542
angles: 90.00 98.16 90.00
Space group C2/m (No. 12)
Symmetry-distinct sites (fractional):
Ca (0.0000, 0.0000, 0.0000) (multiplicity 2)
Mg (0.0000, 0.5000, 0.5000) (multiplicity 2)
Ru (0.2422, 0.0000, 0.6866) (multiplicity 4)

=====

Record 8
VASP calculation (GGA-PBE) on a geometry-optimized CaMgRu2 structure.

- Volume: 18.0 Å³/atom
- Total magnetic moment: 2.07 μB/f.u.
- D(E_F): 6.5 states/eV/cell
- DFT formation energy: 413 meV/atom

abc: 4.0928 4.0928 8.5844
angles: 90.00 90.00 90.00
Space group I4/mmm (No. 139)
Symmetry-distinct sites (fractional):
Ca (0.0000, 0.0000, 0.0000) (multiplicity 2)
Mg (0.0000, 0.0000, 0.5000) (multiplicity 2)
Ru (0.0000, 0.5000, 0.2500) (multiplicity 4)